Record 1
Computed, not measured: a PBEsol-optimized structure of ZnFe5 at the SCAN level of DFT.

a b c (Å): 2.8743 3.9586 6.2449
angles (deg): 108.48 90.00 90.00
Closest atoms and distances in Å follow each position.
Sites, in units of the cell vectors:
1 Fe 0.5000 0.6717 0.3433  6 Fe 2.42-2.45, 2 Zn 2.49
2 Fe 0.0000 0.8357 0.6715  8 Fe 2.42-2.45
3 Fe 0.5000 0.0000 0.0000  4 Fe 2.42, 4 Zn 2.45
4 Fe 0.0000 0.1643 0.3285  8 Fe 2.42-2.45
5 Fe 0.5000 0.3283 0.6567  6 Fe 2.42-2.45, 2 Zn 2.49
6 Zn 0.0000 0.5000 0.0000  8 Fe 2.45-2.49

Record 2
Computed, not measured: a PBEsol-optimized structure of ZnFe at the SCAN level of DFT.

a b c (Å): 3.6469 3.6469 4.4245
angles (deg): 114.34 114.34 90.00
Closest atoms and distances in Å follow each position.
Sites, in units of the cell vectors:
1 Zn 0.7500 0.2500 0.5000  8 Fe 2.56-2.58, 4 Zn 2.56
2 Zn 0.5000 0.5000 0.0000  8 Fe 2.56-2.58, 4 Zn 2.56
3 Fe 0.0000 0.0000 0.0000  8 Zn 2.56-2.58, 4 Fe 2.56
4 Fe 0.2500 0.7500 0.5000  8 Zn 2.56-2.58, 4 Fe 2.56

Record 3
Computed, not measured: a PBEsol-optimized structure of ZnFe at the SCAN level of DFT.

a b c (Å): 2.5502 2.5502 4.2098
angles (deg): 90.00 90.00 120.00
Closest atoms and distances in Å follow each position.
Sites, in units of the cell vectors:
1 Zn 0.6667 0.3333 0.5000  6 Zn 2.55, 6 Fe 2.57
2 Fe 0.0000 0.0000 0.0000  6 Fe 2.55, 6 Zn 2.57

Record 4
Computed, not measured: a PBEsol-optimized structure of ZnFe at the SCAN level of DFT.

a b c (Å): 2.5252 2.5252 3.7669
angles (deg): 90.00 90.00 89.89
Closest atoms and distances in Å follow each position.
Sites, in units of the cell vectors:
1 Zn 0.5000 0.5000 0.5000  4 Zn 2.53, 8 Fe 2.59-2.60
2 Fe 0.0000 0.0000 0.0000  4 Fe 2.53, 8 Zn 2.59-2.60

Record 5
Computed, not measured: a PBEsol-optimized structure of Zn5Fe at the SCAN level of DFT.

a b c (Å): 2.6754 4.2322 7.0769
angles (deg): 90.00 100.90 90.00
Closest atoms and distances in Å follow each position.
Sites, in units of the cell vectors:
1 Fe 0.0005 0.0000 0.0011  10 Zn 2.58-2.61, 2 Fe 2.68
2 Zn 0.7774 0.5000 0.5549  12 Zn 2.65-2.73
3 Zn 0.6603 0.0000 0.3205  2 Fe 2.59, 10 Zn 2.61-2.83
4 Zn 0.4487 0.5000 0.8973  8 Zn 2.57-2.73, 4 Fe 2.61
5 Zn 0.3396 0.0000 0.6792  10 Zn 2.60-2.83, 2 Fe 2.61
6 Zn 0.1069 0.5000 0.2137  10 Zn 2.57-2.72, 2 Fe 2.58

Record 6
Computed, not measured: a PBEsol-optimized structure of Zn7Fe at the SCAN level of DFT.

a b c (Å): 5.3005 5.3005 5.3005
angles (deg): 60.00 60.00 60.00
Closest atoms and distances in Å follow each position.
Sites, in units of the cell vectors:
1 Fe 0.0000 0.0000 0.0000  12 Zn 2.65
2 Zn 0.0000 0.5000 0.5000  2 Fe 2.65, 10 Zn 2.65
3 Zn 0.0000 0.5000 0.0000  10 Zn 2.65, 2 Fe 2.65
4 Zn 0.0000 0.0000 0.5000  10 Zn 2.65, 2 Fe 2.65
5 Zn 0.5000 0.5000 0.0000  10 Zn 2.65, 2 Fe 2.65
6 Zn 0.5000 0.0000 0.5000  10 Zn 2.65, 2 Fe 2.65
7 Zn 0.5000 0.0000 0.0000  10 Zn 2.65, 2 Fe 2.65
8 Zn 0.5000 0.5000 0.5000  12 Zn 2.65

Record 7
Computed, not measured: a PBEsol-optimized structure of Zn2Fe at the SCAN level of DFT.

a b c (Å): 2.5588 4.1891 4.1891
angles (deg): 90.00 90.00 90.00
Closest atoms and distances in Å follow each position.
Sites, in units of the cell vectors:
1 Fe 0.5000 0.0000 0.0000  8 Zn 2.45, 2 Fe 2.56
2 Zn 0.0000 0.5000 0.0000  4 Fe 2.45, 2 Zn 2.56
3 Zn 0.0000 0.0000 0.5000  4 Fe 2.45, 2 Zn 2.56

Record 8
Computed, not measured: a PBEsol-optimized structure of ZnFe at the SCAN level of DFT.

a b c (Å): 2.4903 4.2348 4.5806
angles (deg): 90.00 90.00 90.00
Closest atoms and distances in Å follow each position.
Sites, in units of the cell vectors:
1 Fe 0.0000 0.0000 0.5863  6 Fe 2.49-2.58, 6 Zn 2.56-2.65
2 Fe 0.5000 0.5000 0.4137  6 Fe 2.49-2.58, 6 Zn 2.56-2.65
3 Zn 0.0000 0.5000 0.9031  6 Zn 2.49-2.61, 6 Fe 2.56-2.65
4 Zn 0.5000 0.0000 0.0969  6 Zn 2.49-2.61, 6 Fe 2.56-2.65

Record 9
Computed, not measured: a PBEsol-optimized structure of Zn2Fe at the SCAN level of DFT.

a b c (Å): 3.7072 3.7072 11.1628
angles (deg): 99.56 99.56 90.00
Closest atoms and distances in Å follow each position.
Sites, in units of the cell vectors:
1 Fe 0.9156 0.9156 0.8311  10 Zn 2.55-2.62, 2 Fe 2.56
2 Fe 0.0844 0.0844 0.1689  10 Zn 2.55-2.62, 2 Fe 2.56
3 Fe 0.1656 0.6656 0.3311  10 Zn 2.55-2.62, 2 Fe 2.56
4 Fe 0.3344 0.8344 0.6689  10 Zn 2.55-2.62, 2 Fe 2.56
5 Zn 0.7507 0.7507 0.5014  4 Fe 2.60-2.62, 8 Zn 2.60-2.63
6 Zn 0.2493 0.2493 0.4986  4 Fe 2.60-2.62, 8 Zn 2.60-2.63
7 Zn 0.0007 0.5007 0.0014  4 Fe 2.60-2.62, 8 Zn 2.60-2.63
8 Zn 0.4993 0.9993 0.9986  4 Fe 2.60-2.62, 8 Zn 2.60-2.63
9 Zn 0.5849 0.5849 0.1699  6 Zn 2.54-2.63, 6 Fe 2.55-2.62
10 Zn 0.4151 0.4151 0.8301  6 Zn 2.54-2.63, 6 Fe 2.55-2.62
11 Zn 0.8349 0.3349 0.6699  6 Zn 2.54-2.63, 6 Fe 2.55-2.62
12 Zn 0.6651 0.1651 0.3301  6 Zn 2.54-2.63, 6 Fe 2.55-2.62

Record 10
Computed, not measured: a PBEsol-optimized structure of ZnFe at the SCAN level of DFT.

a b c (Å): 2.5268 2.5268 7.6662
angles (deg): 90.00 90.00 90.00
Closest atoms and distances in Å follow each position.
Sites, in units of the cell vectors:
1 Zn 0.5000 0.0000 0.6350  8 Zn 2.53-2.73, 4 Fe 2.58
2 Zn 0.0000 0.5000 0.3650  8 Zn 2.53-2.73, 4 Fe 2.58
3 Fe 0.5000 0.0000 0.1215  8 Fe 2.53-2.58, 4 Zn 2.58
4 Fe 0.0000 0.5000 0.8785  8 Fe 2.53-2.58, 4 Zn 2.58

Record 11
Computed, not measured: a PBEsol-optimized structure of Zn5Fe at the SCAN level of DFT.

a b c (Å): 2.6159 5.0523 6.3432
angles (deg): 104.05 90.00 105.00
Closest atoms and distances in Å follow each position.
Sites, in units of the cell vectors:
1 Fe 0.9975 0.9950 0.9936  10 Zn 2.56-2.67, 2 Fe 2.62
2 Zn 0.3945 0.7891 0.2669  10 Zn 2.56-2.77, 2 Fe 2.57
3 Zn 0.6639 0.3277 0.3283  10 Zn 2.56-2.73, 2 Fe 2.67
4 Zn 0.0549 0.1099 0.6216  1 Fe 2.56, 11 Zn 2.60-2.73
5 Zn 0.3355 0.6709 0.6725  2 Fe 2.60, 10 Zn 2.60-2.77
6 Zn 0.7203 0.4407 0.9505  9 Zn 2.59-2.66, 3 Fe 2.61-2.65

Record 12
Computed, not measured: a PBEsol-optimized structure of ZnFe at the SCAN level of DFT.

a b c (Å): 4.1582 4.4848 5.1117
angles (deg): 90.00 90.00 90.00
Closest atoms and distances in Å follow each position.
Sites, in units of the cell vectors:
1 Fe 0.7500 0.4204 0.8784  4 Fe 2.53-2.60, 8 Zn 2.54-2.60
2 Fe 0.2500 0.0796 0.3784  4 Fe 2.53-2.60, 8 Zn 2.54-2.60
3 Fe 0.7500 0.9204 0.6216  4 Fe 2.53-2.60, 8 Zn 2.54-2.60
4 Fe 0.2500 0.5796 0.1216  4 Fe 2.53-2.60, 8 Zn 2.54-2.60
5 Zn 0.7500 0.4120 0.3756  8 Fe 2.54-2.60, 4 Zn 2.56-2.58
6 Zn 0.2500 0.0880 0.8756  8 Fe 2.54-2.60, 4 Zn 2.56-2.58
7 Zn 0.7500 0.9120 0.1244  8 Fe 2.54-2.60, 4 Zn 2.56-2.58
8 Zn 0.2500 0.5880 0.6244  8 Fe 2.54-2.60, 4 Zn 2.56-2.58

Record 13
Computed, not measured: a PBEsol-optimized structure of ZnFe at the SCAN level of DFT.

a b c (Å): 2.5164 5.0093 6.1094
angles (deg): 104.30 90.00 104.55
Closest atoms and distances in Å follow each position.
Sites, in units of the cell vectors:
1 Zn 0.6652 0.3304 0.3289  5 Zn 2.52-2.59, 7 Fe 2.59-2.62
2 Zn 0.0552 0.1103 0.6152  6 Zn 2.52-2.59, 6 Fe 2.54-2.68
3 Zn 0.7261 0.4522 0.9461  5 Zn 2.52-2.59, 7 Fe 2.53-2.67
4 Fe 0.9934 0.9867 0.9976  6 Fe 2.52-2.56, 6 Zn 2.53-2.67
5 Fe 0.3897 0.7794 0.2845  5 Fe 2.48-2.56, 7 Zn 2.57-2.62
6 Fe 0.3372 0.6743 0.6610  5 Fe 2.48-2.55, 7 Zn 2.54-2.68

Fermi-level density of states values, unit states/eV per atom, following the record order: 0.49 0.42 0.66 0.40 0.35 0.24 0.49 0.57 0.38 0.45 0.40 0.48 0.57.
M_tot values, unit μB per cell, following the record order: 12.5 5.0 2.4 2.5 2.5 2.3 2.0 5.1 10.1 5.3 2.3 9.9 7.6.
ΔH_f (0 K) values, unit eV per atom, following the record order: -0.0235 0.0030 0.0387 -0.0660 0.0110 -0.0035 0.0988 0.0618 -0.0448 -0.0105 -0.0036 0.0117 0.0173.